{"formula": "S2IO8", "functional": "PBE", "state": "optimized geometry", "cell": [[5.3891, -3.6680, 0.0000], [5.3891, 3.6680, 0.0000], [-1.1666, 0.0000, 4.7951]], "species": ["S", "S", "I", "O", "O", "O", "O", "O", "O", "O", "O"], "frac_coords": [[0.1939, 0.1939, 0.1591], [0.8061, 0.8061, 0.8409], [0.0000, 0.0000, 0.5000], [0.0373, 0.7131, 0.7525], [0.1644, 0.1644, 0.8343], [0.2869, 0.9627, 0.2475], [0.3297, 0.3297, 0.2572], [0.6703, 0.6703, 0.7428], [0.7131, 0.0373, 0.7525], [0.8356, 0.8356, 0.1657], [0.9627, 0.2869, 0.2475]], "raw_formation_energy_ev_per_fu": -8.37, "space_group": "C2/m (12)", "dft_energy_ev_per_atom": -5.26}